i | # Tb8Pm2Tl

Crystalline Tb8Pm2Tl at its relaxed geometry (PBE, Alexandria via LeMat-Bulk).

Cell: 5.4714 7.6175 17.2677 Å, 90.00 90.00 90.00°
With the nearest neighbours (Å) after each atom.
Space group Immm (No. 71)
Symmetry-distinct sites (fractional):
Tb: 0.0000 0.0000 0.1799  8 Tb 3.50-3.69, 4 Pm 3.51-3.82
Tb: 0.0000 0.2297 0.3632  1 Tl 3.13, 2 Pm 3.39, 3 Tb 3.50
Tb: 0.0000 0.2606 0.0000  2 Tl 3.38, 7 Tb 3.62-3.69
Pm: 0.0000 0.5000 0.1930  8 Tb 3.39-3.59
Tl: 0.0000 0.5000 0.5000  8 Tb 3.13-3.38

Output
total moment: 0.000 μB per atom


ii | # Tb8Pm2Tl

Crystalline Tb8Pm2Tl at its relaxed geometry (PBE, Alexandria via LeMat-Bulk).

Cell: 18.1212 4.9819 7.9404 Å, 90.00 105.41 90.00°
With the nearest neighbours (Å) after each atom.
Space group C2/m (No. 12)
Symmetry-distinct sites (fractional):
Tb: 0.0445 0.0000 0.2231  1 Pm 3.48, 9 Tb 3.48-3.57, 2 Tl 3.55
Tb: 0.0892 0.5000 0.9436  1 Tl 3.46, 8 Tb 3.48-3.62, 3 Pm 3.52-3.63
Tb: 0.1346 0.0000 0.6760  2 Tl 3.51, 7 Tb 3.51-3.59, 3 Pm 3.57-3.62
Tb: 0.1803 0.5000 0.4091  8 Tb 3.51-3.62, 3 Pm 3.52-3.58, 1 Tl 3.53
Pm: 0.2226 0.0000 0.1354  10 Tb 3.48-3.63, 2 Pm 3.60
Tl: 0.0000 0.5000 0.5000  12 Tb 3.46-3.55

Output
total moment: 0.000 μB per atom


Looking at the structures above, which would you pick as the most stable? I would pick ii.